This record from Alexandria via LeMat-Bulk describes a relaxed structure of TiV2Se. The functional is PBE-GGA.

Summary:
**ΔE_f (raw)**: 18.4 kJ per mole of atoms
**Crystal system**: tetragonal
**V**: 16.8 A^3/atom
**Size of the total moment**: 0.00 Bohr magnetons per cell
**Total DFT energy (no corrections)**: -7.213 eV per atom

Cell: 7.434 7.434 4.858 Å, 90.00 90.00 90.00°
Atoms (fractional coordinates):
Ti: 0.000 0.000 0.000
Ti: 0.000 0.500 0.250
Ti: 0.500 0.000 0.750
Ti: 0.500 0.500 0.500
V: 0.187 0.250 0.625
V: 0.250 0.687 0.875
V: 0.250 0.813 0.375
V: 0.313 0.250 0.125
V: 0.687 0.750 0.125
V: 0.750 0.187 0.375
V: 0.750 0.313 0.875
V: 0.813 0.750 0.625
Se: 0.000 0.000 0.500
Se: 0.000 0.500 0.750
Se: 0.500 0.000 0.250
Se: 0.500 0.500 0.000


This record from Alexandria via LeMat-Bulk describes a relaxed structure of MgFe2Ru2. The functional is PBE-GGA.

Summary:
**Formation energy**: 0.23 eV/atom
**Crystal system**: tetragonal
**Distance to the lowest polymorph of the same formula**: 0.057 eV/atom
**V**: 14.3 A^3/atom
**Size of the total moment**: 8.28 Bohr magnetons per cell
**Total DFT energy (no corrections)**: -7.182 eV per atom

Cell: 7.258 7.258 2.717 Å, 90.00 90.00 90.00°
Atoms (fractional coordinates):
Mg: 0.000 0.000 0.000
Mg: 0.500 0.500 0.000
Fe: 0.164 0.336 0.500
Fe: 0.336 0.836 0.500
Fe: 0.664 0.164 0.500
Fe: 0.836 0.664 0.500
Ru: 0.131 0.631 0.000
Ru: 0.369 0.131 0.000
Ru: 0.631 0.869 0.000
Ru: 0.869 0.369 0.000


This record from Alexandria via LeMat-Bulk describes a relaxed structure of Ba4Ga2O7. The functional is PBE-GGA.

Summary:
**ΔE_f (raw)**: -230.2 kJ per mole of atoms
**Crystal system**: monoclinic
**V**: 18.5 A^3/atom
**Size of the total moment**: 0.00 Bohr magnetons per cell
**Total DFT energy (no corrections)**: -6.113 eV per atom

Cell: 18.105 10.839 7.441 Å, 90.00 98.28 90.00°
Atoms (fractional coordinates):
Ba: 0.082 0.101 0.350
Ba: 0.082 0.399 0.850
Ba: 0.089 0.728 0.463
Ba: 0.089 0.772 0.963
Ba: 0.248 0.559 0.197
Ba: 0.248 0.941 0.697
Ba: 0.258 0.214 0.037
Ba: 0.258 0.286 0.537
Ba: 0.408 0.070 0.347
Ba: 0.408 0.430 0.847
Ba: 0.413 0.709 0.505
Ba: 0.413 0.791 0.005
Ba: 0.587 0.209 0.995
Ba: 0.587 0.291 0.495
Ba: 0.592 0.570 0.153
Ba: 0.592 0.930 0.653
Ba: 0.742 0.714 0.463
Ba: 0.742 0.786 0.963
Ba: 0.752 0.059 0.303
Ba: 0.752 0.441 0.803
Ba: 0.911 0.228 0.037
Ba: 0.911 0.272 0.537
Ba: 0.918 0.601 0.150
Ba: 0.918 0.899 0.650
Ga: 0.093 0.074 0.815
Ga: 0.093 0.426 0.315
Ga: 0.230 0.559 0.696
Ga: 0.230 0.941 0.196
Ga: 0.434 0.067 0.795
Ga: 0.434 0.433 0.295
Ga: 0.566 0.567 0.705
Ga: 0.566 0.933 0.205
Ga: 0.770 0.059 0.804
Ga: 0.770 0.441 0.304
Ga: 0.907 0.574 0.685
Ga: 0.907 0.926 0.185
O: 0.013 0.177 0.831
O: 0.013 0.323 0.331
O: 0.072 0.562 0.160
O: 0.072 0.938 0.660
O: 0.140 0.011 0.046
O: 0.140 0.489 0.546
O: 0.166 0.164 0.716
O: 0.166 0.336 0.216
O: 0.202 0.710 0.774
O: 0.202 0.790 0.274
O: 0.251 0.062 0.376
O: 0.251 0.438 0.876
O: 0.309 0.547 0.563
O: 0.309 0.953 0.063
O: 0.364 0.187 0.817
O: 0.364 0.313 0.317
O: 0.395 0.576 0.173
O: 0.395 0.924 0.673
O: 0.492 0.636 0.831
O: 0.492 0.864 0.331
O: 0.500 0.000 0.000
O: 0.500 0.500 0.500
O: 0.508 0.136 0.669
O: 0.508 0.364 0.169
O: 0.605 0.076 0.327
O: 0.605 0.424 0.827
O: 0.636 0.687 0.683
O: 0.636 0.813 0.183
O: 0.691 0.047 0.937
O: 0.691 0.453 0.437
O: 0.749 0.562 0.124
O: 0.749 0.938 0.624
O: 0.798 0.210 0.726
O: 0.798 0.290 0.226
O: 0.834 0.664 0.784
O: 0.834 0.836 0.284
O: 0.860 0.511 0.454
O: 0.860 0.989 0.954
O: 0.928 0.062 0.340
O: 0.928 0.438 0.840
O: 0.987 0.677 0.669
O: 0.987 0.823 0.169


This record from Alexandria via LeMat-Bulk describes a relaxed structure of I2ClF. The functional is PBE-GGA.

Summary:
**ΔE_f (raw)**: 2.2 kJ per mole of atoms
**Crystal system**: tetragonal
**Distance to the lowest polymorph of the same formula**: 0.000 eV/atom
**V**: 32.4 A^3/atom
**Size of the total moment**: 0.00 Bohr magnetons per cell
**Total DFT energy (no corrections)**: -1.682 eV per atom

Cell: 5.457 5.457 17.424 Å, 90.00 90.00 90.00°
Atoms (fractional coordinates):
I: 0.091 0.250 0.125
I: 0.250 0.591 0.375
I: 0.250 0.909 0.875
I: 0.409 0.250 0.625
I: 0.591 0.750 0.625
I: 0.750 0.091 0.875
I: 0.750 0.409 0.375
I: 0.909 0.750 0.125
Cl: 0.000 0.000 0.500
Cl: 0.000 0.500 0.750
Cl: 0.500 0.000 0.250
Cl: 0.500 0.500 0.000
F: 0.000 0.000 0.000
F: 0.000 0.500 0.250
F: 0.500 0.000 0.750
F: 0.500 0.500 0.500


This record from Alexandria via LeMat-Bulk describes a relaxed structure of TbCeBr. The functional is PBE-GGA.

Summary:
**ΔE_f (raw)**: -65.1 kJ per mole of atoms
**Crystal system**: monoclinic
**Distance to the lowest polymorph of the same formula**: 0.000 eV/atom
**V**: 28.1 A^3/atom
**Size of the total moment**: 1.29 Bohr magnetons per cell
**Total DFT energy (no corrections)**: -4.754 eV per atom

Cell: 14.633 3.538 6.529 Å, 90.00 95.19 90.00°
Atoms (fractional coordinates):
Tb: 0.099 0.000 0.381
Tb: 0.401 0.500 0.619
Tb: 0.599 0.500 0.381
Tb: 0.901 0.000 0.619
Ce: 0.075 0.500 0.903
Ce: 0.425 0.000 0.097
Ce: 0.575 0.000 0.903
Ce: 0.925 0.500 0.097
Br: 0.245 0.000 0.753
Br: 0.255 0.500 0.247
Br: 0.745 0.500 0.753
Br: 0.755 0.000 0.247


This record from Alexandria via LeMat-Bulk describes a relaxed structure of HfZn2Cu2. The functional is PBE-GGA.

Summary:
**Formation energy**: -0.12 eV/atom
**Crystal system**: orthorhombic
**Distance to the lowest polymorph of the same formula**: 0.000 eV/atom
**V**: 15.1 A^3/atom
**Size of the total moment**: 0.00 Bohr magnetons per cell
**Total DFT energy (no corrections)**: -4.262 eV per atom

Cell: 2.984 4.270 11.813 Å, 90.00 90.00 90.00°
Atoms (fractional coordinates):
Hf: 0.250 0.250 0.249
Hf: 0.750 0.750 0.751
Zn: 0.250 0.250 0.859
Zn: 0.250 0.750 0.532
Zn: 0.750 0.250 0.468
Zn: 0.750 0.750 0.141
Cu: 0.250 0.250 0.649
Cu: 0.250 0.750 0.966
Cu: 0.750 0.250 0.034
Cu: 0.750 0.750 0.351


This record from Alexandria via LeMat-Bulk describes a relaxed structure of Bi2P2Pb. The functional is PBE-GGA.

Summary:
**Formation energy**: 0.24 eV/atom
**Crystal system**: tetragonal
**Distance to the lowest polymorph of the same formula**: 0.000 eV/atom
**V**: 26.8 A^3/atom
**Size of the total moment**: 0.00 Bohr magnetons per cell
**Total DFT energy (no corrections)**: -4.220 eV per atom

Cell: 8.317 8.317 3.870 Å, 90.00 90.00 90.00°
Atoms (fractional coordinates):
Bi: 0.161 0.339 0.000
Bi: 0.339 0.839 0.000
Bi: 0.661 0.161 0.000
Bi: 0.839 0.661 0.000
P: 0.176 0.676 0.500
P: 0.324 0.176 0.500
P: 0.676 0.824 0.500
P: 0.824 0.324 0.500
Pb: 0.000 0.000 0.500
Pb: 0.500 0.500 0.500


This record from Alexandria via LeMat-Bulk describes a relaxed structure of DySiB. The functional is PBE-GGA.

Summary:
**ΔE_f (raw)**: -55.2 kJ per mole of atoms
**Crystal system**: tetragonal
**Distance to the lowest polymorph of the same formula**: 0.093 eV/atom
**V**: 15.0 A^3/atom
**Size of the total moment**: 0.00 Bohr magnetons per cell
**Total DFT energy (no corrections)**: -6.140 eV per atom

Cell: 3.779 3.779 12.630 Å, 90.00 90.00 90.00°
Atoms (fractional coordinates):
Dy: 0.000 0.000 0.000
Dy: 0.000 0.500 0.250
Dy: 0.500 0.000 0.750
Dy: 0.500 0.500 0.500
Si: 0.000 0.500 0.658
Si: 0.000 0.500 0.842
Si: 0.500 0.000 0.158
Si: 0.500 0.000 0.342
B: 0.000 0.000 0.430
B: 0.000 0.000 0.570
B: 0.500 0.500 0.070
B: 0.500 0.500 0.930


This record from Alexandria via LeMat-Bulk describes a relaxed structure of HgGe. The functional is PBE-GGA.

Summary:
**Formation energy**: 0.22 eV/atom
**Crystal system**: orthorhombic
**Distance to the lowest polymorph of the same formula**: 0.071 eV/atom
**V**: 24.6 A^3/atom
**Size of the total moment**: 0.00 Bohr magnetons per cell
**Total DFT energy (no corrections)**: -2.239 eV per atom

Cell: 6.193 6.658 9.530 Å, 90.00 90.00 90.00°
Atoms (fractional coordinates):
Hg: 0.094 0.105 0.094
Hg: 0.122 0.317 0.748
Hg: 0.378 0.683 0.248
Hg: 0.406 0.895 0.594
Hg: 0.594 0.395 0.906
Hg: 0.622 0.183 0.252
Hg: 0.878 0.817 0.752
Hg: 0.906 0.605 0.406
Ge: 0.107 0.025 0.397
Ge: 0.180 0.641 0.924
Ge: 0.320 0.359 0.424
Ge: 0.393 0.975 0.897
Ge: 0.607 0.475 0.603
Ge: 0.680 0.859 0.076
Ge: 0.820 0.141 0.576
Ge: 0.893 0.525 0.103


This record from Alexandria via LeMat-Bulk describes a relaxed structure of Ti4H2O. The functional is PBE-GGA.

Summary:
**Crystal system**: orthorhombic
**Distance to the lowest polymorph of the same formula**: 0.000 eV/atom
**V**: 10.6 A^3/atom
**Size of the total moment**: 0.00 Bohr magnetons per cell
**Total DFT energy (no corrections)**: -7.137 eV per atom

Cell: 4.790 10.608 2.923 Å, 90.00 90.00 90.00°
Atoms (fractional coordinates):
Ti: 0.233 0.073 0.000
Ti: 0.241 0.332 0.500
Ti: 0.259 0.832 0.500
Ti: 0.267 0.573 0.000
Ti: 0.733 0.427 0.000
Ti: 0.741 0.168 0.500
Ti: 0.759 0.668 0.500
Ti: 0.767 0.927 0.000
H: 0.009 0.752 0.000
H: 0.491 0.252 0.000
H: 0.509 0.748 0.000
H: 0.991 0.248 0.000
O: 0.000 0.500 0.500
O: 0.500 0.000 0.500


This record from Alexandria via LeMat-Bulk describes a relaxed structure of SiNiAg2. The functional is PBE-GGA.

Summary:
**ΔE_f (raw)**: 40.0 kJ per mole of atoms
**Crystal system**: tetragonal
**V**: 16.4 A^3/atom
**Size of the total moment**: 0.00 Bohr magnetons per cell
**Total DFT energy (no corrections)**: -3.812 eV per atom

Cell: 7.149 7.149 5.134 Å, 90.00 90.00 90.00°
Atoms (fractional coordinates):
Si: 0.000 0.000 0.000
Si: 0.000 0.500 0.250
Si: 0.500 0.000 0.750
Si: 0.500 0.500 0.500
Ni: 0.000 0.000 0.500
Ni: 0.000 0.500 0.750
Ni: 0.500 0.000 0.250
Ni: 0.500 0.500 0.000
Ag: 0.236 0.250 0.125
Ag: 0.250 0.736 0.375
Ag: 0.250 0.764 0.875
Ag: 0.264 0.250 0.625
Ag: 0.736 0.750 0.625
Ag: 0.750 0.236 0.875
Ag: 0.750 0.264 0.375
Ag: 0.764 0.750 0.125


This record from Alexandria via LeMat-Bulk describes a relaxed structure of Na3CePt8. The functional is PBE-GGA.

Summary:
**Formation energy**: -0.61 eV/atom
**Crystal system**: trigonal
**V**: 18.6 A^3/atom
**Size of the total moment**: 0.58 Bohr magnetons per cell
**Total DFT energy (no corrections)**: -5.461 eV per atom

Cell: 9.333 9.333 9.333 Å, 33.70 33.70 33.70°
Atoms (fractional coordinates):
Na: 0.000 0.000 0.000
Na: 0.119 0.119 0.119
Na: 0.631 0.631 0.631
Ce: 0.501 0.501 0.501
Pt: 0.064 0.064 0.560
Pt: 0.064 0.560 0.064
Pt: 0.066 0.564 0.564
Pt: 0.314 0.314 0.314
Pt: 0.560 0.064 0.064
Pt: 0.564 0.066 0.564
Pt: 0.564 0.564 0.066
Pt: 0.813 0.813 0.813


- Among the records above, which one has the highest total DFT energy (no corrections)?
  I2ClF


- The lowest total DFT energy (no corrections) belongs to which entry?
  TiV2Se


- The highest total DFT energy (no corrections) belongs to which entry?
  I2ClF